No. 1
This record from Alexandria via LeMat-Bulk describes a relaxed structure of BeAlSe. The functional is GGA-PBEsol.

a b c (Å): 3.4332 3.4332 4.8093
angles (deg): 90.00 90.00 120.00
With the nearest neighbours (Å) after each atom.
Element x y z (fractional)
Be 0.3333 0.6667 0.6271  3 Se 2.27
Al 0.0000 0.0000 0.9760  3 Be 2.60, 3 Se 2.83
Se 0.6667 0.3333 0.3969  3 Be 2.27

Computed properties:
- space group = P3m1 (156)
- excess energy over the best structure of this formula in the dataset (eV per atom) = 0.000
- total energy (eV per atom) = -4.06
- formation energy without anion corrections (eV per formula unit) = -0.2
- total magnetization (μB/f.u.) = 0.0

---

No. 2
This record from Alexandria via LeMat-Bulk describes a relaxed structure of K2InSbBr6. The functional is GGA-PBEsol.

a b c (Å): 8.0792 8.0792 8.0792
angles (deg): 60.00 60.00 60.00
With the nearest neighbours (Å) after each atom.
Element x y z (fractional)
K 0.7500 0.7500 0.7500  12 Br 4.04
K 0.2500 0.2500 0.2500  12 Br 4.04
In 0.5000 0.5000 0.5000  6 Br 2.92
Sb 0.0000 0.0000 0.0000  6 Br 2.79
Br 0.7559 0.2441 0.2441  1 Sb 2.79, 1 In 2.92
Br 0.7559 0.7559 0.2441  1 Sb 2.79, 1 In 2.92
Br 0.2441 0.7559 0.7559  1 Sb 2.79, 1 In 2.92
Br 0.7559 0.2441 0.7559  1 Sb 2.79, 1 In 2.92
Br 0.2441 0.7559 0.2441  1 Sb 2.79, 1 In 2.92
Br 0.2441 0.2441 0.7559  1 Sb 2.79, 1 In 2.92

Computed properties:
- space group = Fm-3m (225)
- total energy (eV per atom) = -3.12
- formation energy without anion corrections (eV per formula unit) = -10.2
- total magnetization (μB/f.u.) = 0.0

---

No. 3
This record from Alexandria via LeMat-Bulk describes a relaxed structure of Y2NiCl. The functional is GGA-PBEsol.

a b c (Å): 3.2040 4.6053 5.3257
angles (deg): 90.00 90.00 90.00
With the nearest neighbours (Å) after each atom.
Element x y z (fractional)
Y 0.0000 0.0000 0.0000  4 Cl 2.81, 4 Ni 3.11
Y 0.0000 0.5000 0.5000  4 Ni 2.81, 4 Cl 3.11
Ni 0.5000 0.0000 0.5000  8 Y 2.81-3.11
Cl 0.5000 0.5000 0.0000  8 Y 2.81-3.11

Computed properties:
- space group = Pmmm (47)
- excess energy over the best structure of this formula in the dataset (eV per atom) = 0.308
- total energy (eV per atom) = -6.07
- formation energy without anion corrections (eV per formula unit) = -2.5
- total magnetization (μB/f.u.) = 0.0